First-principles (PBE) data for crystalline HoGaCuPt at its relaxed geometry, as listed in the Alexandria database.

Unit cell a=4.635 b=4.635 c=4.635 alpha=60.00 beta=60.00 gamma=60.00
Fractional positions:
1 Pt 0.750 0.750 0.750
2 Cu 0.250 0.250 0.250
3 Ho 0.000 0.000 0.000
4 Ga 0.500 0.500 0.500

Calculated values
Energy relative to the elements ... -2.6 eV/f.u.
Density ... 11.63 g/cm3
Symmetry ... No. 216
Crystal system ... cubic
Raw total energy ... -20.34 eV per cell
V ... 17.60 A^3/atom